# 1
This record from Alexandria describes a geometry-optimized TeIrI2Cl structure. The functional is GGA-PBEsol.

## Properties
The value obtained for the uncorrected energy is -3.39 eV per atom.

Cell and atoms, written as POSCAR:
```
TeIrI2Cl
1.0
5.0055 0.0000 0.0000
0.0000 5.4229 0.0000
0.0000 0.0000 5.4229
I Ir Te Cl
2 1 1 1
direct
0.0000 0.0000 0.5000
0.0000 0.5000 0.0000
0.0000 0.0000 0.0000
0.5000 0.0000 0.0000
0.5000 0.5000 0.5000
```


# 2
This record from Alexandria describes a geometry-optimized BeOsAu2 structure. The functional is GGA-PBEsol.

## Properties
The value obtained for the uncorrected energy is -5.69 eV per atom. The formation energy is 331 meV/atom.

Cell and atoms, written as POSCAR:
```
BeOsAu2
1.0
-0.2196 2.6459 -0.9180
-1.9188 -0.8129 -1.8839
-5.1048 1.2006 4.6813
Os Au Be
1 2 1
direct
0.5000 0.5000 0.5000
0.0000 0.0000 0.7883
0.0000 0.0000 0.2117
0.5000 0.5000 0.0000
```


# 3
This record from Alexandria describes a geometry-optimized HfRuAu2 structure. The functional is GGA-PBEsol.

## Properties
The value obtained for the uncorrected energy is -7.24 eV per atom. The formation energy is -111 meV/atom.

Cell and atoms, written as POSCAR:
```
HfRuAu2
1.0
-2.7327 -0.7259 3.5799
-1.1755 -4.2561 1.1462
1.6743 -1.8830 3.8028
Hf Au Ru
1 2 1
direct
0.5000 0.5000 0.5000
0.2500 0.2500 0.2500
0.7500 0.7500 0.7500
0.0000 0.0000 0.0000
```


# 4
This record from Alexandria describes a geometry-optimized Ca5Al3 structure. The functional is GGA-PBEsol.

## Properties
The value obtained for the uncorrected energy is -2.99 eV per atom. The energy above the lowest structure with this stoichiometry comes out at 0 meV/atom. The formation energy is -118 meV/atom.

Cell and atoms, written as POSCAR:
```
Ca5Al3
1.0
5.8536 0.0000 0.0000
2.9268 8.8260 0.0000
2.9268 0.0000 8.8260
Al Ca
6 10
direct
0.7500 0.0000 0.0000
0.2500 0.0000 0.0000
0.3389 0.5000 0.8222
0.6611 0.5000 0.1778
0.8389 0.8222 0.5000
0.1611 0.1778 0.5000
0.7500 0.5000 0.5000
0.2500 0.5000 0.5000
0.4166 0.8656 0.3013
0.5834 0.1344 0.6987
0.9166 0.3013 0.8656
0.0834 0.6987 0.1344
0.2179 0.8656 0.6987
0.7821 0.1344 0.3013
0.2821 0.3013 0.1344
0.7179 0.6987 0.8656
```


# 5
This record from Alexandria describes a geometry-optimized Na2MgB4H20N4 structure. The functional is GGA-PBEsol.

## Properties
The value obtained for the uncorrected energy is -4.68 eV per atom.

Cell and atoms, written as POSCAR:
```
Na2MgB4H20N4
1.0
8.9428 0.0266 0.0388
-4.1884 7.9014 -0.0388
-4.1884 -2.8778 7.3588
Na Mg B H N
4 2 8 40 8
direct
0.2500 0.8750 0.1250
0.7500 0.8750 0.6250
0.7500 0.8750 0.1250
0.2500 0.3750 0.1250
0.5000 0.2500 0.7500
0.0000 0.5000 0.5000
0.7984 0.1465 0.8624
0.2016 0.0641 0.3482
0.2159 0.6124 0.3141
0.7841 0.0982 0.3965
0.7016 0.6035 0.3876
0.2984 0.6859 0.9018
0.2841 0.1376 0.9359
0.7159 0.6518 0.8535
0.8532 0.1890 0.0229
0.1468 0.1697 0.3358
0.3339 0.7729 0.4197
0.6661 0.0858 0.4390
0.6468 0.5610 0.2271
0.3532 0.5803 0.9142
0.1661 0.9771 0.8303
0.8339 0.6642 0.8110
0.6383 0.9921 0.7772
0.3617 0.1390 0.3538
0.2851 0.5272 0.3890
0.7149 0.1038 0.2421
0.8617 0.7579 0.4728
0.1383 0.6110 0.8962
0.2149 0.2228 0.8610
0.7851 0.6462 0.0079
0.9322 0.1392 0.8590
0.0678 0.9267 0.2070
0.2197 0.6090 0.1767
0.7803 0.9570 0.3892
0.5678 0.6108 0.3910
0.4322 0.8233 0.0430
0.2803 0.1410 0.0733
0.7197 0.7930 0.8608
0.8849 0.4110 0.8457
0.1151 0.9608 0.5261
0.9347 0.5957 0.2108
0.0653 0.2761 0.6610
0.6151 0.3390 0.4043
0.3849 0.7892 0.7239
0.5653 0.1543 0.0392
0.4347 0.4739 0.5890
0.7289 0.2456 0.6488
0.2711 0.9199 0.5167
0.9032 0.3988 0.1699
0.0968 0.2667 0.4956
0.7711 0.5044 0.6012
0.2289 0.8301 0.7333
0.5968 0.3512 0.0801
0.4032 0.4833 0.7544
0.7570 0.2796 0.7759
0.2430 0.0189 0.5226
0.9964 0.5259 0.2689
0.0036 0.2726 0.5296
0.7430 0.4704 0.4741
0.2570 0.7311 0.7274
0.5036 0.2241 0.9811
0.4964 0.4774 0.7204
```


# 6
This record from Alexandria describes a geometry-optimized ZnSnO2 structure. The functional is GGA-PBEsol.

## Properties
The value obtained for the uncorrected energy is -5.36 eV per atom. The energy above the lowest structure with this stoichiometry comes out at 0 meV/atom.

Cell and atoms, written as POSCAR:
```
ZnSnO2
1.0
-3.4196 -0.0267 0.0088
-1.6112 -2.4801 7.4667
-1.7850 8.2948 3.1362
Zn Sn O
4 4 8
direct
0.0849 0.5211 0.3113
0.9151 0.4789 0.6887
0.8079 0.2800 0.0849
0.1920 0.7200 0.9151
0.3184 0.8122 0.5559
0.4820 0.8740 0.1749
0.5180 0.1260 0.8251
0.6816 0.1878 0.4441
0.0787 0.3235 0.5176
0.6195 0.8528 0.9335
0.3805 0.1472 0.0665
0.9213 0.6765 0.4824
0.3347 0.6036 0.7290
0.0893 0.6987 0.1389
0.6653 0.3964 0.2710
0.9107 0.3013 0.8611
```


# 7
This record from Alexandria describes a geometry-optimized BaSr4Pb structure. The functional is GGA-PBEsol.

## Properties
The value obtained for the uncorrected energy is -2.10 eV per atom. The formation energy is 155 meV/atom.

Cell and atoms, written as POSCAR:
```
BaSr4Pb
1.0
-7.0263 -1.0202 -2.0895
-2.0285 -6.3696 -3.1764
-4.3009 -4.7665 3.6823
Ba Pb Sr
1 1 4
direct
0.7500 0.7500 0.7500
0.0000 0.0000 0.0000
0.3739 0.3739 0.3739
0.3739 0.3739 0.8782
0.8782 0.3739 0.3739
0.3739 0.8782 0.3739
```


# 8
This record from Alexandria describes a geometry-optimized MgTl structure. The functional is GGA-PBEsol.

## Properties
The value obtained for the uncorrected energy is -2.26 eV per atom. The formation energy is -84 meV/atom.

Cell and atoms, written as POSCAR:
```
MgTl
1.0
-0.7928 1.0246 3.1805
-2.4706 -4.5557 0.8517
4.4692 -2.0895 1.7871
Tl Mg
2 2
direct
0.5000 0.7500 0.2506
0.5000 0.2500 0.7494
0.0000 0.7500 0.7507
0.0000 0.2500 0.2493
```


# 9
This record from Alexandria describes a geometry-optimized KW structure. The functional is GGA-PBEsol.

## Properties
The value obtained for the uncorrected energy is -6.34 eV per atom. The energy above the lowest structure with this stoichiometry comes out at 93 meV/atom. The formation energy is 1128 meV/atom.

Cell and atoms, written as POSCAR:
```
KW
1.0
3.0133 0.0085 0.0000
-1.2702 2.7326 0.0000
0.0000 0.0000 12.0154
K W
2 2
direct
0.2500 0.7500 0.1700
0.7500 0.2500 0.8300
0.2500 0.7500 0.5779
0.7500 0.2500 0.4221
```


# 10
This record from Alexandria describes a geometry-optimized Mg2TeOs structure. The functional is GGA-PBEsol.

## Properties
The value obtained for the uncorrected energy is -4.73 eV per atom.

Cell and atoms, written as POSCAR:
```
Mg2TeOs
1.0
3.0967 0.0000 0.0000
0.0000 4.4786 0.0000
-1.5484 -2.2393 6.1068
Mg Os Te
2 1 1
direct
0.9891 0.9891 0.9782
0.8209 0.3209 0.6418
0.5082 0.5082 0.0164
0.1818 0.6818 0.3635
```


# 11
This record from Alexandria describes a geometry-optimized TlZn2Mo structure. The functional is GGA-PBEsol.

## Properties
The value obtained for the uncorrected energy is -3.93 eV per atom. The energy above the lowest structure with this stoichiometry comes out at 0 meV/atom. The formation energy is 456 meV/atom.

Cell and atoms, written as POSCAR:
```
TlZn2Mo
1.0
3.8881 0.0000 0.0000
0.0000 3.8881 0.0000
-1.9440 -1.9440 4.4094
Mo Tl Zn
1 1 2
direct
0.5000 0.5000 0.0000
0.0000 0.0000 0.0000
0.7500 0.2500 0.5000
0.2500 0.7500 0.5000
```


# 12
This record from Alexandria describes a geometry-optimized KCoCu structure. The functional is GGA-PBEsol.

## Properties
The value obtained for the uncorrected energy is -3.69 eV per atom. The formation energy is 708 meV/atom.

Cell and atoms, written as POSCAR:
```
KCoCu
1.0
-0.3915 -2.2137 -1.2869
-0.0964 -1.9558 3.3936
-5.3367 2.8930 -0.7460
Co Cu K
1 1 1
direct
0.9384 0.9384 0.8768
0.3941 0.3941 0.7882
0.6675 0.6675 0.3351
```


# 13
This record from Alexandria describes a geometry-optimized FeH3Ir structure. The functional is GGA-PBEsol.

## Properties
The value obtained for the uncorrected energy is -5.42 eV per atom.

Cell and atoms, written as POSCAR:
```
FeH3Ir
1.0
-3.2352 -0.2493 1.0392
-0.0165 -3.3011 -0.8434
1.0685 -0.8058 3.1333
H Ir Fe
3 1 1
direct
0.0000 0.5000 0.0000
0.0000 0.0000 0.5000
0.5000 0.0000 0.0000
0.0000 0.0000 0.0000
0.5000 0.5000 0.5000
```


# 14
This record from Alexandria describes a geometry-optimized Cd2Au3 structure. The functional is GGA-PBEsol.

## Properties
The value obtained for the uncorrected energy is -2.99 eV per atom. The formation energy is -157 meV/atom.

Cell and atoms, written as POSCAR:
```
Cd2Au3
1.0
-2.2515 -2.8625 -1.9284
2.2229 -4.4760 -0.3543
-2.9344 -2.8089 3.1924
Au Cd
3 2
direct
0.2015 0.7031 0.8940
0.0000 0.5000 0.5000
0.7985 0.2969 0.1060
0.5929 0.1096 0.7045
0.4071 0.8904 0.2955
```


# 15
This record from Alexandria describes a geometry-optimized PrCo12B6 structure. The functional is GGA-PBEsol.

## Properties
The value obtained for the uncorrected energy is -7.78 eV per atom. The formation energy is -403 meV/atom.

Cell and atoms, written as POSCAR:
```
PrCo12B6
1.0
-3.5948 -2.9334 3.6584
4.6626 -3.5788 -0.6026
2.0407 4.4729 3.2771
Pr Co B
1 12 6
direct
0.0000 0.0000 0.0000
0.8667 0.5000 0.1333
0.1333 0.8667 0.5000
0.5000 0.1333 0.8667
0.8667 0.1333 0.5000
0.5000 0.8667 0.1333
0.1333 0.5000 0.8667
0.8131 0.5415 0.5415
0.5415 0.8131 0.5415
0.5415 0.5415 0.8131
0.1869 0.4585 0.4585
0.4585 0.1869 0.4585
0.4585 0.4585 0.1869
0.3268 0.7683 0.7683
0.7683 0.3268 0.7683
0.7683 0.7683 0.3268
0.6732 0.2317 0.2317
0.2317 0.6732 0.2317
0.2317 0.2317 0.6732
```


# 16
This record from Alexandria describes a geometry-optimized Li2GaGe structure. The functional is GGA-PBEsol.

## Properties
The value obtained for the uncorrected energy is -3.33 eV per atom. The formation energy is -274 meV/atom.

Cell and atoms, written as POSCAR:
```
Li2GaGe
1.0
-2.3310 -2.0090 -3.1084
1.9537 -1.3384 -3.6775
0.5699 -4.2725 -0.7435
Ge Ga Li
1 1 2
direct
0.5000 0.5000 0.5000
0.0000 0.0000 0.0000
0.2500 0.2500 0.2500
0.7500 0.7500 0.7500
```


# 17
This record from Alexandria describes a geometry-optimized La2FeAuC structure. The functional is GGA-PBEsol.

## Properties
The value obtained for the uncorrected energy is -7.01 eV per atom. The formation energy is -365 meV/atom.

Cell and atoms, written as POSCAR:
```
La2FeAuC
1.0
-2.2965 -0.5518 2.7792
-0.7893 -4.9476 -1.6345
4.0174 -1.6306 2.9958
C Au Fe La
1 1 1 2
direct
0.0000 0.0000 0.0000
0.5000 0.5000 0.5000
0.5000 0.0000 0.0000
0.0000 0.0000 0.5000
0.0000 0.5000 0.0000
```


# 18
This record from Alexandria describes a geometry-optimized Re2NiAu structure. The functional is GGA-PBEsol.

## Properties
The value obtained for the uncorrected energy is -8.91 eV per atom. The formation energy is 275 meV/atom.

Cell and atoms, written as POSCAR:
```
Re2NiAu
1.0
-1.0150 0.1773 -2.4530
-3.0725 -2.4420 2.5378
-1.5952 4.4278 0.9800
Au Ni Re
1 1 2
direct
0.4965 0.9929 0.4826
0.7441 0.4882 0.2489
0.0089 0.0179 0.9946
0.2505 0.5010 0.7739
```


# 19
This record from Alexandria describes a geometry-optimized Eu3As4 structure. The functional is GGA-PBEsol.

## Properties
The value obtained for the uncorrected energy is -8.52 eV per atom. The formation energy is -1073 meV/atom.

Cell and atoms, written as POSCAR:
```
Eu3As4
1.0
-5.4166 1.2925 -1.0249
-2.8212 -4.0928 -5.8923
-5.1816 -5.4321 4.8937
Eu As
6 8
direct
0.7450 0.5000 0.5000
0.9950 0.0000 0.0000
0.4483 0.4923 0.1691
0.1097 0.5077 0.8309
0.6906 0.0077 0.6691
0.3674 0.9923 0.3309
0.8682 0.6648 0.1667
0.6998 0.3352 0.8333
0.2830 0.8352 0.6667
0.7850 0.1648 0.3333
0.3244 0.3173 0.5108
0.1526 0.6827 0.4892
0.3917 0.1827 0.0108
0.5853 0.8173 0.9892
```


# 20
This record from Alexandria describes a geometry-optimized BeP2S2 structure. The functional is GGA-PBEsol.

## Properties
The value obtained for the uncorrected energy is -3.74 eV per atom.

Cell and atoms, written as POSCAR:
```
BeP2S2
1.0
4.3852 0.0000 0.0000
0.0000 4.3852 0.0000
0.0000 0.0000 4.5234
P S Be
2 2 1
direct
0.0000 0.5000 0.0000
0.5000 0.0000 0.0000
0.0000 0.0000 0.0000
0.0000 0.0000 0.5000
0.5000 0.5000 0.5000
```